# AsP2Pd3

An optimized crystal structure of AsP2Pd3 (PBE-GGA, OQMD via LeMat-Bulk).

Cell: 3.594 3.594 8.873 Å, 90.00 90.00 120.00°
Fractional coordinates of all 6 atoms:
As  0.000  0.000  0.000
P  0.667  0.333  0.662
P  0.333  0.667  0.338
Pd  0.667  0.333  0.192
Pd  0.333  0.667  0.808
Pd  0.000  0.000  0.500

Summary:
SG: P-3m1 (164)
Uncorrected energy: -5.28 eV/atom